Entry 1:
DFT (PBE) results for an optimized crystal structure of BaAc2ReO8.

Output
The uncorrected formation energy is -2464 meV per atom. The calculation puts the volume at 186 Å³/cell. The spin magnetization is 0.212 μB/cell.

a = 4.7394 Å, b = 5.4424 Å, c = 7.5193 Å
α = 90.00°, β = 106.32°, γ = 90.04°
Element x y z (fractional)
Ba 0.0000 0.0000 0.0000
Ac 0.3874 0.5000 0.7134
Ac 0.6126 0.5000 0.2866
Re 0.0000 0.0000 0.5000
O 0.1794 0.7506 0.3934
O 0.1810 0.2479 0.3931
O 0.2346 0.5001 0.9950
O 0.3213 0.0000 0.7258
O 0.6787 0.0000 0.2742
O 0.7654 0.4999 0.0050
O 0.8190 0.7521 0.6069
O 0.8206 0.2494 0.6066

Entry 2:
DFT (PBE) results for an optimized crystal structure of PaBiI3.

Output
The uncorrected formation energy is -606 meV per atom. The calculation puts the volume at 1028 Å³/cell. The spin magnetization is 4.120 μB/cell.

a = 8.2966 Å, b = 8.3190 Å, c = 14.9311 Å
α = 90.00°, β = 93.84°, γ = 90.00°
Element x y z (fractional)
Pa 0.0676 0.1065 0.1457
Pa 0.0676 0.8935 0.6457
Pa 0.9324 0.1065 0.3543
Pa 0.9324 0.8935 0.8543
Bi 0.1611 0.3960 0.2929
Bi 0.1611 0.6040 0.7929
Bi 0.8389 0.3960 0.2071
Bi 0.8389 0.6040 0.7071
I 0.1285 0.2092 0.5294
I 0.1285 0.7908 0.0294
I 0.2309 0.0951 0.7984
I 0.2309 0.9049 0.2984
I 0.3698 0.2463 0.0882
I 0.3698 0.7537 0.5882
I 0.6302 0.2463 0.4118
I 0.6302 0.7537 0.9118
I 0.7691 0.0951 0.7016
I 0.7691 0.9049 0.2016
I 0.8715 0.2092 0.9706
I 0.8715 0.7908 0.4706

Entry 3:
DFT (PBE) results for an optimized crystal structure of V3TcPt4.

Output
The calculation puts the volume at 118 Å³/cell. The formation energy comes out at -0.36 eV/atom. The spin magnetization is 0.000 μB/cell.

a = 6.3652 Å, b = 6.3652 Å, c = 4.7317 Å
α = 108.03°, β = 108.03°, γ = 40.82°
Element x y z (fractional)
V 0.0000 0.0000 0.0000
V 0.1269 0.1269 0.7031
V 0.8731 0.8731 0.2969
Tc 0.5000 0.5000 0.5000
Pt 0.2486 0.2486 0.3239
Pt 0.3743 0.3743 0.9276
Pt 0.6257 0.6257 0.0724
Pt 0.7514 0.7514 0.6761

Entry 4:
DFT (PBE) results for an optimized crystal structure of Zr6Zn5Pt.

Output
The calculation puts the volume at 225 Å³/cell. The formation energy comes out at -0.36 eV/atom. The spin magnetization is 0.000 μB/cell.

a = 8.2391 Å, b = 8.2391 Å, c = 8.2391 Å
α = 146.44°, β = 132.78°, γ = 59.17°
Element x y z (fractional)
Zr 0.0831 0.3334 0.7497
Zr 0.2491 0.0000 0.2491
Zr 0.4162 0.6666 0.7497
Zr 0.5838 0.3334 0.2503
Zr 0.7509 0.0000 0.7509
Zr 0.9169 0.6666 0.2503
Zn 0.0000 0.5000 0.5000
Zn 0.1674 0.1674 0.0000
Zn 0.3308 0.8308 0.5000
Zn 0.6692 0.1692 0.5000
Zn 0.8326 0.8326 0.0000
Pt 0.5000 0.5000 0.0000

Entry 5:
DFT (PBE) results for an optimized crystal structure of Fe2IrRh6.

Output
The polymorph energy (0 for the lowest one) comes out at 0.0000 eV per atom. The calculation puts the volume at 124 Å³/cell. The formation energy comes out at -0.02 eV/atom. The spin magnetization is 5.473 μB/cell.

a = 7.1346 Å, b = 7.1346 Å, c = 7.2348 Å
α = 114.94°, β = 114.94°, γ = 21.96°
Element x y z (fractional)
Fe 0.1479 0.1479 0.1633
Fe 0.8521 0.8521 0.8367
Ir 0.0000 0.0000 0.5000
Rh 0.1894 0.1894 0.8343
Rh 0.3331 0.3331 0.5051
Rh 0.4805 0.4805 0.1625
Rh 0.5195 0.5195 0.8375
Rh 0.6669 0.6669 0.4949
Rh 0.8106 0.8106 0.1657

Entry 6:
DFT (PBE) results for an optimized crystal structure of La2FeMo.

Output
The polymorph energy (0 for the lowest one) comes out at 0.0121 eV per atom. The calculation puts the volume at 98 Å³/cell. The formation energy comes out at 0.30 eV/atom. The spin magnetization is 0.559 μB/cell.

a = 6.4215 Å, b = 6.4215 Å, c = 6.4215 Å
α = 148.17°, β = 135.22°, γ = 55.98°
Element x y z (fractional)
La 0.0000 0.0000 0.0000
La 0.7125 0.2125 0.5000
Fe 0.4248 0.4248 0.0000
Mo 0.2978 0.7978 0.5000